# GGA-PBEsol Li3SnC, relaxed
data_Li3SnC
_chemical_formula_sum 'Li3 Sn1 C1'
_cell_length_a 4.128
_cell_length_b 4.128
_cell_length_c 4.128
_cell_angle_alpha 90.00
_cell_angle_beta 90.00
_cell_angle_gamma 90.00
_space_group_name_H-M_alt 'P m -3 m'
_space_group_IT_number 221
_space_group_name_Hall '-P 4 2 3'
loop_
_atom_site_label
_atom_site_type_symbol
_atom_site_fract_x
_atom_site_fract_y
_atom_site_fract_z
Li1 Li 0.000 0.000 0.500
Sn1 Sn 0.500 0.500 0.500
C1 C 0.000 0.000 0.000
# formation enthalpy at 0 K	0.382	eV per atom
# magnetization	0.00	μB/f.u.
# N(E_F)	1.94	states/eV/cell
# theoretical density	3.577	g/cm³
# energy	-3.58	eV per atom



# GGA-PBEsol LiSn2C, relaxed
data_LiSn2C
_chemical_formula_sum 'Li4 Sn8 C4'
_cell_length_a 7.056
_cell_length_b 7.056
_cell_length_c 5.731
_cell_angle_alpha 90.00
_cell_angle_beta 90.00
_cell_angle_gamma 90.00
_space_group_name_H-M_alt 'I -4 2 d'
_space_group_IT_number 122
_space_group_name_Hall 'I -4 2bw'
loop_
_atom_site_label
_atom_site_type_symbol
_atom_site_fract_x
_atom_site_fract_y
_atom_site_fract_z
Li1 Li 0.000 0.000 0.000
Sn1 Sn 0.175 0.250 0.625
C1 C 0.000 0.000 0.500
# formation enthalpy at 0 K	0.490	eV per atom
# magnetization	0.00	μB/f.u.
# N(E_F)	3.37	states/eV/cell
# theoretical density	5.967	g/cm³
# energy	-4.54	eV per atom



# GGA-PBEsol SrLiC2, relaxed
data_SrLiC2
_chemical_formula_sum 'Sr4 Li4 C8'
_cell_length_a 6.057
_cell_length_b 6.057
_cell_length_c 6.057
_cell_angle_alpha 90.00
_cell_angle_beta 90.00
_cell_angle_gamma 90.00
_space_group_name_H-M_alt 'F m -3 m'
_space_group_IT_number 225
_space_group_name_Hall '-F 4 2 3'
loop_
_atom_site_label
_atom_site_type_symbol
_atom_site_fract_x
_atom_site_fract_y
_atom_site_fract_z
Sr1 Sr 0.000 0.000 0.000
Li1 Li 0.000 0.000 0.500
C1 C 0.250 0.250 0.250
# formation enthalpy at 0 K	1.539	eV per atom
# magnetization	0.00	μB/f.u.
# N(E_F)	9.72	states/eV/cell
# theoretical density	3.544	g/cm³
# energy	-4.23	eV per atom